# LiTiPt2

A relaxed structure of LiTiPt2 (PBEsol, the Alexandria database).

a b c (Å): 6.0808 6.0808 6.0808
angles (deg): 90.00 90.00 90.00
Closest atoms and distances in Å follow each position.
Fractional coordinates of all 16 atoms:
Li: 0.0000 0.0000 0.0000  8 Pt 2.63
Li: 0.0000 0.5000 0.5000  8 Pt 2.63
Li: 0.5000 0.0000 0.5000  8 Pt 2.63
Li: 0.5000 0.5000 0.0000  8 Pt 2.63
Ti: 0.0000 0.0000 0.5000  8 Pt 2.63
Ti: 0.0000 0.5000 0.0000  8 Pt 2.63
Ti: 0.5000 0.0000 0.0000  8 Pt 2.63
Ti: 0.5000 0.5000 0.5000  8 Pt 2.63
Pt: 0.2500 0.2500 0.2500  4 Li 2.63, 4 Ti 2.63
Pt: 0.2500 0.2500 0.7500  4 Li 2.63, 4 Ti 2.63
Pt: 0.2500 0.7500 0.2500  4 Li 2.63, 4 Ti 2.63
Pt: 0.2500 0.7500 0.7500  4 Li 2.63, 4 Ti 2.63
Pt: 0.7500 0.2500 0.2500  4 Li 2.63, 4 Ti 2.63
Pt: 0.7500 0.2500 0.7500  4 Li 2.63, 4 Ti 2.63
Pt: 0.7500 0.7500 0.2500  4 Li 2.63, 4 Ti 2.63
Pt: 0.7500 0.7500 0.7500  4 Li 2.63, 4 Ti 2.63

- volume (Å³ per atom) = 14.1
- formation enthalpy at 0 K (eV/atom) = -0.80
- total moment (μB per cell) = 0.0
- space-group type = Fm-3m, No. 225
- D(E_F) (states/eV/cell) = 11.68